# PBE-GGA Na2CrCl, relaxed
data_Na2CrCl
_symmetry_space_group_name_H-M 'P -1'
_symmetry_Int_Tables_number 2
_cell_length_a 3.3573
_cell_length_b 5.6378
_cell_length_c 10.2185
_cell_angle_alpha 101.85
_cell_angle_beta 94.13
_cell_angle_gamma 97.07
loop_
_symmetry_equiv_pos_as_xyz
'x,y,z'
'-x,-y,-z'
loop_
_atom_site_label
_atom_site_fract_x
_atom_site_fract_y
_atom_site_fract_z
_atom_site_occupancy
Na1 0.0995 0.1501 0.1759 1
Na2 0.2291 0.2910 0.6198 1
Cr1 0.3831 0.6185 0.0446 1
Cl1 0.3280 0.7903 0.6020 1
# E_form (uncorrected) = -1.12 eV/f.u.
# E above lowest polymorph = 235 meV per atom
# Fermi-level density of states = 0.34 states/eV/atom

=====

# PBE-GGA CoRe2Ag2, relaxed
data_CoRe2Ag2
_symmetry_space_group_name_H-M 'P 4/m b m'
_symmetry_Int_Tables_number 127
_symmetry_space_group_name_Hall '-P 4 2ab'
_cell_length_a 8.1367
_cell_length_b 8.1367
_cell_length_c 2.6455
_cell_angle_alpha 90.00
_cell_angle_beta 90.00
_cell_angle_gamma 90.00
loop_
_atom_site_label
_atom_site_fract_x
_atom_site_fract_y
_atom_site_fract_z
_atom_site_occupancy
Co1 0.0000 0.0000 0.0000 1
Re1 0.1042 0.3958 0.5000 1
Ag1 0.1896 0.6896 0.0000 1
# E above lowest polymorph = 123 meV per atom
# ΔE_f = 5.852 eV/f.u.
# Fermi-level density of states = 1.41 states/eV/atom

=====

# PBE-GGA Na3PmCl6, relaxed
data_Na3PmCl6
_symmetry_space_group_name_H-M 'P 1 21/c 1'
_symmetry_Int_Tables_number 14
_cell_length_a 7.0412
_cell_length_b 7.3679
_cell_length_c 12.4812
_cell_angle_alpha 90.00
_cell_angle_beta 123.18
_cell_angle_gamma 90.00
loop_
_symmetry_equiv_pos_as_xyz
'x,y,z'
'-x,-y,-z'
'-x,y+1/2,-z+1/2'
'x,-y+1/2,z+1/2'
loop_
_atom_site_label
_atom_site_fract_x
_atom_site_fract_y
_atom_site_fract_z
_atom_site_occupancy
Na1 0.0000 0.0000 0.0000 1
Na2 0.2106 0.0656 0.7286 1
Pm1 0.5000 0.0000 0.5000 1
Cl1 0.1201 0.1807 0.4423 1
Cl2 0.2350 0.6949 0.4091 1
Cl3 0.4032 0.0819 0.2611 1
# E_form (uncorrected) = -19.84 eV/f.u.
# E above lowest polymorph = 15 meV per atom
# Fermi-level density of states = 0.00 states/eV/atom

=====

# PBE-GGA TiNbCoNi, relaxed
data_TiNbCoNi
_symmetry_space_group_name_H-M 'F -4 3 m'
_symmetry_Int_Tables_number 216
_symmetry_space_group_name_Hall 'F -4 2 3'
_cell_length_a 6.0862
_cell_length_b 6.0862
_cell_length_c 6.0862
_cell_angle_alpha 90.00
_cell_angle_beta 90.00
_cell_angle_gamma 90.00
loop_
_atom_site_label
_atom_site_fract_x
_atom_site_fract_y
_atom_site_fract_z
_atom_site_occupancy
Ti1 0.0000 0.0000 0.0000 1
Nb1 0.0000 0.0000 0.5000 1
Co1 0.2500 0.2500 0.7500 1
Ni1 0.2500 0.2500 0.2500 1
# ΔE_f = -0.750 eV/f.u.
# Fermi-level density of states = 1.39 states/eV/atom

=====

# PBE-GGA Os2BrCl, relaxed
data_Os2BrCl
_symmetry_space_group_name_H-M 'C 1 m 1'
_symmetry_Int_Tables_number 8
_cell_length_a 6.3435
_cell_length_b 3.6608
_cell_length_c 8.7146
_cell_angle_alpha 90.00
_cell_angle_beta 91.72
_cell_angle_gamma 90.00
loop_
_symmetry_equiv_pos_as_xyz
'x,y,z'
'x,-y,z'
'x+1/2,y+1/2,z'
'x+1/2,-y+1/2,z'
loop_
_atom_site_label
_atom_site_fract_x
_atom_site_fract_y
_atom_site_fract_z
_atom_site_occupancy
Os1 0.0000 0.0000 0.0000 1
Os2 0.1614 0.5000 0.8707 1
Br1 0.3420 0.0000 0.2114 1
Cl1 0.1513 0.5000 0.6141 1
# E_form (uncorrected) = 1.03 eV/f.u.
# E above lowest polymorph = 0 meV per atom
# Fermi-level density of states = 0.74 states/eV/atom

=====

# PBE-GGA TaCuNiIr, relaxed
data_TaCuNiIr
_symmetry_space_group_name_H-M 'F -4 3 m'
_symmetry_Int_Tables_number 216
_symmetry_space_group_name_Hall 'F -4 2 3'
_cell_length_a 6.0863
_cell_length_b 6.0863
_cell_length_c 6.0863
_cell_angle_alpha 90.00
_cell_angle_beta 90.00
_cell_angle_gamma 90.00
loop_
_atom_site_label
_atom_site_fract_x
_atom_site_fract_y
_atom_site_fract_z
_atom_site_occupancy
Ta1 0.0000 0.0000 0.0000 1
Cu1 0.0000 0.0000 0.5000 1
Ni1 0.2500 0.2500 0.7500 1
Ir1 0.2500 0.2500 0.2500 1
# ΔE_f = -1.054 eV/f.u.
# Fermi-level density of states = 0.91 states/eV/atom

=====

# PBE-GGA Li2MgPbF, relaxed
data_Li2MgPbF
_symmetry_space_group_name_H-M 'P 4/m m m'
_symmetry_Int_Tables_number 123
_symmetry_space_group_name_Hall '-P 4 2'
_cell_length_a 4.2950
_cell_length_b 4.2950
_cell_length_c 4.6056
_cell_angle_alpha 90.00
_cell_angle_beta 90.00
_cell_angle_gamma 90.00
loop_
_atom_site_label
_atom_site_fract_x
_atom_site_fract_y
_atom_site_fract_z
_atom_site_occupancy
Li1 0.0000 0.5000 0.0000 1
Mg1 0.0000 0.0000 0.5000 1
Pb1 0.5000 0.5000 0.5000 1
F1 0.0000 0.0000 0.0000 1
# E_form (uncorrected) = -5.79 eV/f.u.
# Fermi-level density of states = 0.22 states/eV/atom

=====

# PBE-GGA Pm8Pr3Tm, relaxed
data_Pm8Pr3Tm
_symmetry_space_group_name_H-M 'I -4 2 m'
_symmetry_Int_Tables_number 121
_symmetry_space_group_name_Hall 'I -4 2'
_cell_length_a 8.8603
_cell_length_b 8.8603
_cell_length_c 11.5699
_cell_angle_alpha 90.00
_cell_angle_beta 90.00
_cell_angle_gamma 90.00
loop_
_atom_site_label
_atom_site_fract_x
_atom_site_fract_y
_atom_site_fract_z
_atom_site_occupancy
Pm1 0.1240 0.1240 0.2530 1
Pm2 0.2458 0.2458 0.5092 1
Pr1 0.0000 0.0000 0.0000 1
Pr2 0.0000 0.5000 0.2500 1
Tm1 0.0000 0.0000 0.5000 1
# ΔE_f = 6.639 eV/f.u.
# Fermi-level density of states = 1.56 states/eV/atom

=====

# PBE-GGA CsCaIn2Cl8, relaxed
data_CsCaIn2Cl8
_symmetry_space_group_name_H-M 'R -3'
_symmetry_Int_Tables_number 148
_symmetry_space_group_name_Hall '-R 3'
_cell_length_a 6.9257
_cell_length_b 6.9257
_cell_length_c 29.2202
_cell_angle_alpha 90.00
_cell_angle_beta 90.00
_cell_angle_gamma 120.00
loop_
_atom_site_label
_atom_site_fract_x
_atom_site_fract_y
_atom_site_fract_z
_atom_site_occupancy
Cs1 0.0000 0.0000 0.0000 1
Ca1 0.0000 0.0000 0.5000 1
In1 0.0000 0.0000 0.2410 1
Cl1 0.0000 0.0000 0.3244 1
Cl2 0.0060 0.6470 0.7788 1
# E_form (uncorrected) = -17.51 eV/f.u.
# Fermi-level density of states = 0.52 states/eV/atom

=====

# PBE-GGA NaCa8, relaxed
data_NaCa8
_symmetry_space_group_name_H-M 'I 4/m m m'
_symmetry_Int_Tables_number 139
_symmetry_space_group_name_Hall '-I 4 2'
_cell_length_a 11.6641
_cell_length_b 11.6641
_cell_length_c 5.4783
_cell_angle_alpha 90.00
_cell_angle_beta 90.00
_cell_angle_gamma 90.00
loop_
_atom_site_label
_atom_site_fract_x
_atom_site_fract_y
_atom_site_fract_z
_atom_site_occupancy
Na1 0.0000 0.0000 0.0000 1
Ca1 0.0000 0.3333 0.0000 1
Ca2 0.1659 0.1659 0.5000 1
# ΔE_f = 0.264 eV/f.u.
# Fermi-level density of states = 1.25 states/eV/atom

=====

# PBE-GGA Sc2SiPb, relaxed
data_Sc2SiPb
_symmetry_space_group_name_H-M 'R -3 m'
_symmetry_Int_Tables_number 166
_symmetry_space_group_name_Hall '-R 3 2"'
_cell_length_a 3.3001
_cell_length_b 3.3001
_cell_length_c 31.2361
_cell_angle_alpha 90.00
_cell_angle_beta 90.00
_cell_angle_gamma 120.00
loop_
_atom_site_label
_atom_site_fract_x
_atom_site_fract_y
_atom_site_fract_z
_atom_site_occupancy
Sc1 0.0000 0.0000 0.0852 1
Si1 0.0000 0.0000 0.0000 1
Pb1 0.0000 0.0000 0.5000 1
# E_form (uncorrected) = 0.75 eV/f.u.
# E above lowest polymorph = 632 meV per atom
# Fermi-level density of states = 1.04 states/eV/atom

=====

# PBE-GGA Pm3Ho5Tm2, relaxed
data_Pm3Ho5Tm2
_symmetry_space_group_name_H-M 'C 1 2/c 1'
_symmetry_Int_Tables_number 15
_cell_length_a 10.6589
_cell_length_b 15.8590
_cell_length_c 9.3775
_cell_angle_alpha 90.00
_cell_angle_beta 124.38
_cell_angle_gamma 90.00
loop_
_symmetry_equiv_pos_as_xyz
'x,y,z'
'-x,-y,-z'
'-x,y,-z+1/2'
'x,-y,z+1/2'
'x+1/2,y+1/2,z'
'-x+1/2,-y+1/2,-z'
'-x+1/2,y+1/2,-z+1/2'
'x+1/2,-y+1/2,z+1/2'
loop_
_atom_site_label
_atom_site_fract_x
_atom_site_fract_y
_atom_site_fract_z
_atom_site_occupancy
Pm1 0.0000 0.2344 0.2500 1
Pm2 0.1431 0.1238 0.0443 1
Ho1 0.0000 0.0277 0.2500 1
Ho2 0.0000 0.2719 0.7500 1
Ho3 0.0000 0.4694 0.7500 1
Ho4 0.2377 0.3891 0.2287 1
Tm1 0.1528 0.3836 0.5475 1
# E above lowest polymorph = 0 meV per atom
# ΔE_f = 1.960 eV/f.u.
# Fermi-level density of states = 1.73 states/eV/atom

=====

# PBE-GGA CoOsN3, relaxed
data_CoOsN3
_symmetry_space_group_name_H-M 'P m -3 m'
_symmetry_Int_Tables_number 221
_symmetry_space_group_name_Hall '-P 4 2 3'
_cell_length_a 3.8336
_cell_length_b 3.8336
_cell_length_c 3.8336
_cell_angle_alpha 90.00
_cell_angle_beta 90.00
_cell_angle_gamma 90.00
loop_
_atom_site_label
_atom_site_fract_x
_atom_site_fract_y
_atom_site_fract_z
_atom_site_occupancy
Co1 0.0000 0.0000 0.0000 1
Os1 0.5000 0.5000 0.5000 1
N1 0.0000 0.5000 0.5000 1
# E_form (uncorrected) = 6.86 eV/f.u.
# Fermi-level density of states = 1.24 states/eV/atom

=====

# PBE-GGA Fe2TcP, relaxed
data_Fe2TcP
_symmetry_space_group_name_H-M 'I -4 2 d'
_symmetry_Int_Tables_number 122
_symmetry_space_group_name_Hall 'I -4 2bw'
_cell_length_a 5.1195
_cell_length_b 5.1195
_cell_length_c 9.9979
_cell_angle_alpha 90.00
_cell_angle_beta 90.00
_cell_angle_gamma 90.00
loop_
_atom_site_label
_atom_site_fract_x
_atom_site_fract_y
_atom_site_fract_z
_atom_site_occupancy
Fe1 0.2290 0.2500 0.1250 1
Tc1 0.0000 0.0000 0.5000 1
P1 0.0000 0.0000 0.0000 1
# ΔE_f = 2.381 eV/f.u.
# Fermi-level density of states = 0.87 states/eV/atom

=====

# PBE-GGA TcBiS2N, relaxed
data_TcBiS2N
_symmetry_space_group_name_H-M 'P 4/m m m'
_symmetry_Int_Tables_number 123
_symmetry_space_group_name_Hall '-P 4 2'
_cell_length_a 4.9096
_cell_length_b 4.9096
_cell_length_c 3.7468
_cell_angle_alpha 90.00
_cell_angle_beta 90.00
_cell_angle_gamma 90.00
loop_
_atom_site_label
_atom_site_fract_x
_atom_site_fract_y
_atom_site_fract_z
_atom_site_occupancy
Tc1 0.0000 0.0000 0.0000 1
Bi1 0.5000 0.5000 0.5000 1
S1 0.0000 0.5000 0.0000 1
N1 0.0000 0.0000 0.5000 1
# E_form (uncorrected) = 0.69 eV/f.u.
# E above lowest polymorph = 0 meV per atom
# Fermi-level density of states = 0.79 states/eV/atom

=====

# PBE-GGA PmYMgCd, relaxed
data_PmYMgCd
_symmetry_space_group_name_H-M 'P 4 m m'
_symmetry_Int_Tables_number 99
_cell_length_a 3.8120
_cell_length_b 3.8120
_cell_length_c 7.6087
_cell_angle_alpha 90.00
_cell_angle_beta 90.00
_cell_angle_gamma 90.00
loop_
_symmetry_equiv_pos_as_xyz
'x,y,z'
'-y,x,z'
'-x,-y,z'
'y,-x,z'
'-x,y,z'
'y,x,z'
'x,-y,z'
'-y,-x,z'
loop_
_atom_site_label
_atom_site_fract_x
_atom_site_fract_y
_atom_site_fract_z
_atom_site_occupancy
Pm1 0.0000 0.0000 0.0000 1
Y1 0.0000 0.0000 0.4981 1
Mg1 0.5000 0.5000 0.7419 1
Cd1 0.5000 0.5000 0.2585 1
# E above lowest polymorph = 2 meV per atom
# ΔE_f = -0.871 eV/f.u.
# Fermi-level density of states = 1.27 states/eV/atom

=====

# PBE-GGA Sm3Si4Ru2, relaxed
data_Sm3Si4Ru2
_symmetry_space_group_name_H-M 'C 1 2/m 1'
_symmetry_Int_Tables_number 12
_cell_length_a 10.9830
_cell_length_b 4.1873
_cell_length_c 8.1703
_cell_angle_alpha 90.00
_cell_angle_beta 108.57
_cell_angle_gamma 90.00
loop_
_symmetry_equiv_pos_as_xyz
'x,y,z'
'-x,-y,-z'
'-x,y,-z'
'x,-y,z'
'x+1/2,y+1/2,z'
'-x+1/2,-y+1/2,-z'
'-x+1/2,y+1/2,-z'
'x+1/2,-y+1/2,z'
loop_
_atom_site_label
_atom_site_fract_x
_atom_site_fract_y
_atom_site_fract_z
_atom_site_occupancy
Sm1 0.0000 0.0000 0.0000 1
Sm2 0.1127 0.5000 0.6961 1
Si1 0.1074 0.0000 0.4067 1
Si2 0.2212 0.5000 0.0781 1
Ru1 0.1884 0.5000 0.3565 1
# E_form (uncorrected) = -7.18 eV/f.u.
# Fermi-level density of states = 0.57 states/eV/atom

=====

# PBE-GGA CuTe2IF, relaxed
data_CuTe2IF
_symmetry_space_group_name_H-M 'P 4/m m m'
_symmetry_Int_Tables_number 123
_symmetry_space_group_name_Hall '-P 4 2'
_cell_length_a 4.5622
_cell_length_b 4.5622
_cell_length_c 7.5855
_cell_angle_alpha 90.00
_cell_angle_beta 90.00
_cell_angle_gamma 90.00
loop_
_atom_site_label
_atom_site_fract_x
_atom_site_fract_y
_atom_site_fract_z
_atom_site_occupancy
Cu1 0.0000 0.0000 0.0000 1
Te1 0.0000 0.5000 0.5000 1
I1 0.5000 0.5000 0.0000 1
F1 0.5000 0.5000 0.5000 1
# E_form (uncorrected) = 1.21 eV/f.u.
# E above lowest polymorph = 62 meV per atom
# Fermi-level density of states = 0.93 states/eV/atom

=====

# PBE-GGA Tb2CeAl, relaxed
data_Tb2CeAl
_symmetry_space_group_name_H-M 'P 4/m m m'
_symmetry_Int_Tables_number 123
_symmetry_space_group_name_Hall '-P 4 2'
_cell_length_a 3.4913
_cell_length_b 3.4913
_cell_length_c 8.9321
_cell_angle_alpha 90.00
_cell_angle_beta 90.00
_cell_angle_gamma 90.00
loop_
_atom_site_label
_atom_site_fract_x
_atom_site_fract_y
_atom_site_fract_z
_atom_site_occupancy
Tb1 0.0000 0.0000 0.2187 1
Ce1 0.5000 0.5000 0.5000 1
Al1 0.5000 0.5000 0.0000 1
# E above lowest polymorph = 5 meV per atom
# ΔE_f = -0.576 eV/f.u.
# Fermi-level density of states = 1.47 states/eV/atom

=====

# PBE-GGA KAg2Rh, relaxed
data_KAg2Rh
_symmetry_space_group_name_H-M 'R 3 m'
_symmetry_Int_Tables_number 160
_symmetry_space_group_name_Hall 'R 3 -2"'
_cell_length_a 2.9627
_cell_length_b 2.9627
_cell_length_c 31.0816
_cell_angle_alpha 90.00
_cell_angle_beta 90.00
_cell_angle_gamma 120.00
loop_
_atom_site_label
_atom_site_fract_x
_atom_site_fract_y
_atom_site_fract_z
_atom_site_occupancy
K1 0.0000 0.0000 0.0000 1
Ag1 0.0000 0.0000 0.5086 1
Ag2 0.0000 0.0000 0.7644 1
Rh1 0.0000 0.0000 0.2480 1
# E above lowest polymorph = 140 meV per atom
# ΔE_f = 1.874 eV/f.u.
# Fermi-level density of states = 1.00 states/eV/atom